A relaxed La2CuPd crystal, computed with PBE.

Lattice parameters (Å, degrees): 3.6790 3.6790 7.3089 90.00 90.00 90.00
Closest atoms and distances in Å follow each position.
Element x y z (fractional)
La  0.0000  0.0000  0.2488  4 Cu 3.17, 4 Pd 3.18
La  0.0000  0.0000  0.7512  4 Cu 3.17, 4 Pd 3.18
Cu  0.5000  0.5000  0.0000  8 La 3.17
Pd  0.5000  0.5000  0.5000  8 La 3.18

Values from the calculation:
- E: -20.93 eV per cell
- DFT formation energy: -10.32 kcal/mol of atoms
- SG: P4/mmm
- V: 24.73 Å³/atom

A relaxed PrNdSn6 crystal, computed with PBE.

Lattice parameters (Å, degrees): 4.7800 4.7800 9.5931 90.00 90.00 90.00
Closest atoms and distances in Å follow each position.
Element x y z (fractional)
Pr  0.0000  0.0000  0.0000  12 Sn 3.38-3.39
Nd  0.0000  0.0000  0.5000  12 Sn 3.38
Sn  0.0000  0.5000  0.2512  8 Sn 3.38-3.39, 2 Nd 3.38, 2 Pr 3.39
Sn  0.0000  0.5000  0.7488  8 Sn 3.38-3.39, 2 Nd 3.38, 2 Pr 3.39
Sn  0.5000  0.0000  0.2512  8 Sn 3.38-3.39, 2 Nd 3.38, 2 Pr 3.39
Sn  0.5000  0.0000  0.7488  8 Sn 3.38-3.39, 2 Nd 3.38, 2 Pr 3.39
Sn  0.5000  0.5000  0.0000  4 Pr 3.38, 8 Sn 3.39
Sn  0.5000  0.5000  0.5000  8 Sn 3.38, 4 Nd 3.38

Values from the calculation:
- E: -37.57 eV per cell
- DFT formation energy: -11.54 kcal/mol of atoms
- SG: P4/mmm
- V: 27.40 Å³/atom

A relaxed SnMoRh3 crystal, computed with PBE.

Lattice parameters (Å, degrees): 4.7123 4.7123 4.7123 90.00 90.00 90.00
Closest atoms and distances in Å follow each position.
Element x y z (fractional)
Sn  0.0000  0.0000  0.0000  12 Rh 3.33
Mo  0.5000  0.5000  0.5000  6 Rh 2.36
Rh  0.0000  0.5000  0.5000  2 Mo 2.36
Rh  0.5000  0.0000  0.5000  2 Mo 2.36
Rh  0.5000  0.5000  0.0000  2 Mo 2.36

Values from the calculation:
- Polymorph energy (0 for the lowest one): 0 meV per atom
- E: -32.55 eV per cell
- DFT formation energy: 20.00 kcal/mol of atoms
- SG: Pm-3m
- V: 20.93 Å³/atom

A relaxed CuHg2Mo crystal, computed with PBE.

Lattice parameters (Å, degrees): 2.8832 2.8832 8.3929 90.00 90.00 90.00
Closest atoms and distances in Å follow each position.
Element x y z (fractional)
Cu  0.0000  0.0000  0.0000  8 Hg 2.85, 4 Cu 2.88
Hg  0.5000  0.5000  0.2367  4 Cu 2.85, 4 Hg 2.88, 4 Mo 3.01
Hg  0.5000  0.5000  0.7633  4 Cu 2.85, 4 Hg 2.88, 4 Mo 3.01
Mo  0.0000  0.0000  0.5000  4 Mo 2.88, 8 Hg 3.01

Values from the calculation:
- Polymorph energy (0 for the lowest one): 51 meV per atom
- E: -13.71 eV per cell
- DFT formation energy: 10.50 kcal/mol of atoms
- SG: P4/mmm
- V: 17.44 Å³/atom